The following is a PBE calculation of crystalline Ce12ThRh6 at its relaxed geometry, from Alexandria.

Unit cell a=9.5932 b=9.5932 c=16.2689 alpha=90.00 beta=90.00 gamma=120.00
Last column: nearest neighbours and their distance in Å.
Space group R-3m (No. 166, hexagonal axes)
Inequivalent atoms, fractional coordinates:
Ce  0.0688  0.5344  0.3960 [18 per cell]  4 Ce 2.99-3.24, 4 Rh 3.08-3.16
Ce  0.1097  0.2193  0.4052 [18 per cell]  1 Rh 2.83, 5 Ce 2.99-3.16
Th  0.0000  0.0000  0.0000 [3 per cell]  6 Rh 2.82
Rh  0.0975  0.5488  0.7916 [18 per cell]  1 Th 2.82, 5 Ce 2.83-3.16

Computed properties:
raw total energy	-6.779	eV/atom

The following is a PBE calculation of crystalline FeSnMoRu at its relaxed geometry, from Alexandria.

Unit cell a=6.2710 b=6.2710 c=6.2710 alpha=90.00 beta=90.00 gamma=90.00
Last column: nearest neighbours and their distance in Å.
Space group F-43m (No. 216)
Inequivalent atoms, fractional coordinates:
Fe  0.0000  0.0000  0.0000 [4 per cell]  4 Mo 2.72, 4 Sn 2.72
Sn  0.2500  0.2500  0.2500 [4 per cell]  4 Fe 2.72, 4 Ru 2.72
Mo  0.2500  0.2500  0.7500 [4 per cell]  4 Fe 2.72, 4 Ru 2.72
Ru  0.0000  0.0000  0.5000 [4 per cell]  4 Mo 2.72, 4 Sn 2.72

Computed properties:
raw total energy	-7.997	eV/atom

The following is a PBE calculation of crystalline U2Ga2Co3 at its relaxed geometry, from Alexandria.

Unit cell a=11.1857 b=4.1588 c=4.8813 alpha=90.00 beta=90.39 gamma=90.00
Last column: nearest neighbours and their distance in Å.
Space group C2/m (No. 12)
Inequivalent atoms, fractional coordinates:
U  0.1356  0.0000  0.1296 [4 per cell]  2 Co 2.37-2.41
Ga  0.0979  0.5000  0.6564 [4 per cell]  5 Co 2.47-2.62, 1 Ga 2.66
Co  0.0000  0.0000  0.5000 [2 per cell]  2 U 2.37, 4 Ga 2.47, 2 Co 2.60
Co  0.2198  0.0000  0.6765 [4 per cell]  1 U 2.41, 3 Ga 2.49-2.62, 1 Co 2.60

Computed properties:
raw total energy	-7.381	eV/atom

The following is a PBE calculation of crystalline Pm5Pr3Nd2 at its relaxed geometry, from Alexandria.

Unit cell a=11.0455 b=17.0051 c=9.3501 alpha=90.00 beta=126.19 gamma=90.00
Last column: nearest neighbours and their distance in Å.
Space group C2/c (No. 15)
Inequivalent atoms, fractional coordinates:
Pm  0.0000  0.0274  0.2500 [4 per cell]  5 Pr 3.35-3.57, 2 Nd 3.57, 2 Pm 3.75
Pm  0.0000  0.2763  0.7500 [4 per cell]  1 Pm 3.31, 4 Pr 3.40-3.60, 2 Nd 3.62
Pm  0.0000  0.4711  0.7500 [4 per cell]  1 Pm 3.31, 4 Nd 3.39-3.56, 2 Pr 3.57
Pm  0.2487  0.3784  0.2471 [8 per cell]  2 Nd 3.52-3.54, 3 Pr 3.52-3.81, 3 Pm 3.75-3.81
Pr  0.0000  0.2245  0.2500 [4 per cell]  1 Pm 3.35, 4 Nd 3.40-3.62, 2 Pr 3.60
Pr  0.1462  0.1244  0.0429 [8 per cell]  1 Nd 3.15, 2 Pm 3.40
Nd  0.1454  0.3771  0.5402 [8 per cell]  2 Pr 3.15-3.40, 2 Pm 3.39-3.52

Computed properties:
raw total energy	-4.591	eV/atom

M_tot readings, ordered: 0.0, 2.3, 1.3, 0.0 μB/f.u.